The following is a PBE calculation of crystalline NdPb4S5 at its relaxed geometry, from the Alexandria database.

Cell lengths 5.9739, 7.3683, 7.3683 Å; angles 80.54, 66.09, 66.09 degrees
Last column: nearest neighbours and their distance in Å.
Element x y z (fractional)
Nd1 0.0017 0.0000 0.0000  6 S 2.85-2.99
S1 0.9012 0.3819 0.8175  1 Nd 2.85, 4 Pb 2.94-3.03
S2 0.7187 0.1825 0.3819  1 Nd 2.85, 4 Pb 2.94-3.03
S3 0.5011 0.0000 0.0000  2 Nd 2.98-2.99, 4 Pb 3.05
S4 0.1006 0.6181 0.1825  1 Nd 2.85, 4 Pb 2.94-3.03
S5 0.2831 0.8175 0.6181  1 Nd 2.85, 4 Pb 2.94-3.03
Pb1 0.3973 0.4060 0.8012  6 S 2.94-3.20
Pb2 0.8033 0.8012 0.5940  6 S 2.94-3.20
Pb3 0.1985 0.1988 0.4060  6 S 2.94-3.20
Pb4 0.6046 0.5940 0.1988  6 S 2.94-3.20

Computed properties:
* space-group type: I4/m (87)

The following is a PBE calculation of crystalline Nd4Pb3S8 at its relaxed geometry, from the Alexandria database.

Cell lengths 8.2661, 8.2858, 8.2858 Å; angles 89.96, 119.83, 119.83 degrees
Last column: nearest neighbours and their distance in Å.
Element x y z (fractional)
S1 0.5000 0.7540 0.2460  3 Nd 2.88-2.94, 3 Pb 2.93-2.98
S2 0.0000 0.7546 0.2454  3 Nd 2.87-2.93, 2 Pb 2.94
S3 0.0073 0.7587 0.7587  4 Nd 2.87-2.93, 1 Pb 2.98
S4 0.5158 0.7643 0.7643  2 Nd 2.85-2.86, 3 Pb 2.93-3.01
S5 0.0000 0.2454 0.7546  3 Nd 2.87-2.93, 2 Pb 2.94
S6 0.4842 0.2357 0.2357  2 Nd 2.85-2.86, 3 Pb 2.93-3.01
S7 0.5000 0.2460 0.7540  3 Nd 2.88-2.94, 3 Pb 2.93-2.98
S8 0.9927 0.2413 0.2413  4 Nd 2.87-2.93, 1 Pb 2.98
Nd1 0.5000 0.0000 0.0000  6 S 2.86-2.90
Nd2 0.0000 0.5000 0.0000  6 S 2.93-2.94
Nd3 0.0000 0.0000 0.5000  6 S 2.93-2.94
Nd4 0.0000 0.0000 0.0000  6 S 2.85-2.87
Pb1 0.5000 0.5000 0.5000  6 S 2.98-3.01
Pb2 0.5000 0.5000 0.0000  6 S 2.93-2.94
Pb3 0.5000 0.0000 0.5000  6 S 2.93-2.94

Computed properties:
* space-group type: C2/m (12)

The following is a PBE calculation of crystalline Nd3PbS at its relaxed geometry, from the Alexandria database.

Cell lengths 5.3934, 5.3934, 5.3934 Å; angles 90.00, 90.00, 90.00 degrees
Last column: nearest neighbours and their distance in Å.
Element x y z (fractional)
Pb1 0.5000 0.5000 0.5000  12 Nd 3.81
Nd1 0.5000 0.0000 0.0000  2 S 2.70
Nd2 0.0000 0.0000 0.5000  2 S 2.70
Nd3 0.0000 0.5000 0.0000  2 S 2.70
S1 0.0000 0.0000 0.0000  6 Nd 2.70

Computed properties:
* space-group type: Pm-3m (221)

no.,E_form (uncorrected) (eV per formula unit)
1,-8.131
2,-20.618
3,-4.453